Entry from the Open Quantum Materials Database: a geometry-optimized CoB3O6 structure (GGA+U).

Computed properties:
The value obtained for the calculated total energy is -7.34 eV per atom.

abc: 9.6813 8.3706 5.5800
angles: 90.00 124.93 90.00
Last column: nearest neighbours and their distance in Å.
Space group C2/c (No. 15)
One atom of each set of equivalent atoms:
Co 0.0000 0.1855 0.2500 [4 per cell]  4 O 1.85-2.01
B 0.0000 0.2844 0.7500 [4 per cell]  4 O 1.45-1.48
B 0.2319 0.0748 0.8457 [8 per cell]  3 O 1.36-1.41
O 0.0995 0.1847 0.6808 [8 per cell]  2 B 1.41-1.48
O 0.1052 0.3762 0.0148 [8 per cell]  2 B 1.36-1.45
O 0.1954 0.0801 0.3587 [8 per cell]  1 B 1.36